# 1
# CsRbHg10 (PBE-GGA, optimized geometry)
# Volume in Å³/atom: 33.5
# Crystal system: orthorhombic
# Symmetry: Pmmm, No. 47
# Energy of formation in eV per atom: -0.173
# Fermi-level density of states in states/eV/atom: 0.40
data_CsRbHg10
_symmetry_space_group_name_H-M 'P 1'
_symmetry_Int_Tables_number 1
_symmetry_space_group_name_Hall 'P 1'
_cell_length_a 5.447
_cell_length_b 6.485
_cell_length_c 11.389
_cell_angle_alpha 90.00
_cell_angle_beta 90.00
_cell_angle_gamma 90.00
loop_
_atom_site_label
_atom_site_fract_x
_atom_site_fract_y
_atom_site_fract_z
_atom_site_occupancy
Cs1 0.000 0.000 0.000 1
Rb1 0.000 0.500 0.500 1
Hg1 0.000 0.000 0.338 1
Hg2 0.000 0.000 0.662 1
Hg3 0.000 0.500 0.171 1
Hg4 0.000 0.500 0.829 1
Hg5 0.500 0.000 0.500 1
Hg6 0.500 0.253 0.255 1
Hg7 0.500 0.253 0.745 1
Hg8 0.500 0.500 0.000 1
Hg9 0.500 0.747 0.255 1
Hg10 0.500 0.747 0.745 1

***

# 2
# CaGeTe2I (PBE-GGA, optimized geometry)
# Volume in Å³/atom: 40.3
# Energy relative to the elements, uncorrected in eV per atom: 0.0981
# Crystal system: tetragonal
# Symmetry: P4/mmm, No. 123
# Energy above the lowest structure with this stoichiometry in eV/atom: 0.458
# Fermi-level density of states in states/eV/atom: 1.07
data_CaGeTe2I
_symmetry_space_group_name_H-M 'P 1'
_symmetry_Int_Tables_number 1
_symmetry_space_group_name_Hall 'P 1'
_cell_length_a 5.895
_cell_length_b 5.895
_cell_length_c 5.803
_cell_angle_alpha 90.00
_cell_angle_beta 90.00
_cell_angle_gamma 90.00
loop_
_atom_site_label
_atom_site_fract_x
_atom_site_fract_y
_atom_site_fract_z
_atom_site_occupancy
Ca1 0.000 0.000 0.000 1
Ge1 0.500 0.500 0.500 1
Te1 0.000 0.500 0.000 1
Te2 0.500 0.000 0.000 1
I1 0.000 0.000 0.500 1

***

# 3
# Ca2LaN (PBE-GGA, optimized geometry)
# Volume in Å³/atom: 27.7
# Energy relative to the elements, uncorrected in eV per atom: -0.4545
# Crystal system: trigonal
# Symmetry: R-3m, No. 166
# Fermi-level density of states in states/eV/atom: 0.86
data_Ca2LaN
_symmetry_space_group_name_H-M 'P 1'
_symmetry_Int_Tables_number 1
_symmetry_space_group_name_Hall 'P 1'
_cell_length_a 10.413
_cell_length_b 10.413
_cell_length_c 10.413
_cell_angle_alpha 19.57
_cell_angle_beta 19.57
_cell_angle_gamma 19.57
loop_
_atom_site_label
_atom_site_fract_x
_atom_site_fract_y
_atom_site_fract_z
_atom_site_occupancy
Ca1 0.125 0.125 0.125 1
Ca2 0.875 0.875 0.875 1
La1 0.000 0.000 0.000 1
N1 0.500 0.500 0.500 1

***

# 4
# Pu2AgO6 (PBE-GGA, optimized geometry)
# Volume in Å³/atom: 15.6
# Energy relative to the elements, uncorrected in eV per atom: -2.1248
# Crystal system: monoclinic
# Symmetry: C2/m, No. 12
# Fermi-level density of states in states/eV/atom: 1.29
data_Pu2AgO6
_symmetry_space_group_name_H-M 'P 1'
_symmetry_Int_Tables_number 1
_symmetry_space_group_name_Hall 'P 1'
_cell_length_a 5.815
_cell_length_b 5.815
_cell_length_c 4.798
_cell_angle_alpha 90.05
_cell_angle_beta 90.05
_cell_angle_gamma 119.96
loop_
_atom_site_label
_atom_site_fract_x
_atom_site_fract_y
_atom_site_fract_z
_atom_site_occupancy
Pu1 0.167 0.833 0.000 1
Pu2 0.833 0.167 0.000 1
Ag1 0.500 0.500 0.500 1
O1 0.131 0.131 0.785 1
O2 0.132 0.500 0.215 1
O3 0.500 0.132 0.215 1
O4 0.500 0.868 0.785 1
O5 0.868 0.500 0.785 1
O6 0.869 0.869 0.215 1

***

# 5
# NaMgHg5 (PBE-GGA, optimized geometry)
# Volume in Å³/atom: 25.6
# Crystal system: tetragonal
# Symmetry: P4/mmm, No. 123
# Energy of formation in eV per atom: -0.137
# Fermi-level density of states in states/eV/atom: 0.43
data_NaMgHg5
_symmetry_space_group_name_H-M 'P 1'
_symmetry_Int_Tables_number 1
_symmetry_space_group_name_Hall 'P 1'
_cell_length_a 4.852
_cell_length_b 4.852
_cell_length_c 7.606
_cell_angle_alpha 90.00
_cell_angle_beta 90.00
_cell_angle_gamma 90.00
loop_
_atom_site_label
_atom_site_fract_x
_atom_site_fract_y
_atom_site_fract_z
_atom_site_occupancy
Na1 0.000 0.000 0.000 1
Mg1 0.000 0.000 0.500 1
Hg1 0.000 0.500 0.284 1
Hg2 0.000 0.500 0.716 1
Hg3 0.500 0.000 0.284 1
Hg4 0.500 0.000 0.716 1
Hg5 0.500 0.500 0.000 1

***

# 6
# MnZn2Ru (PBE-GGA, optimized geometry)
# Volume in Å³/atom: 14.0
# Crystal system: orthorhombic
# Symmetry: Cmmm, No. 65
# Energy above the lowest structure with this stoichiometry in eV/atom: 0.081
# Energy of formation in eV per atom: 0.034
# Fermi-level density of states in states/eV/atom: 0.68
data_MnZn2Ru
_symmetry_space_group_name_H-M 'P 1'
_symmetry_Int_Tables_number 1
_symmetry_space_group_name_Hall 'P 1'
_cell_length_a 4.620
_cell_length_b 4.620
_cell_length_c 2.762
_cell_angle_alpha 90.00
_cell_angle_beta 90.00
_cell_angle_gamma 108.23
loop_
_atom_site_label
_atom_site_fract_x
_atom_site_fract_y
_atom_site_fract_z
_atom_site_occupancy
Mn1 0.000 0.000 0.000 1
Zn1 0.000 0.500 0.500 1
Zn2 0.500 0.000 0.500 1
Ru1 0.500 0.500 0.000 1

***

# 7
# LiYAl2 (PBE-GGA, optimized geometry)
# Volume in Å³/atom: 20.0
# Crystal system: orthorhombic
# Symmetry: Cmcm, No. 63
# Energy above the lowest structure with this stoichiometry in eV/atom: 0.000
# Energy of formation in eV per atom: -0.286
# Fermi-level density of states in states/eV/atom: 0.55
data_LiYAl2
_symmetry_space_group_name_H-M 'P 1'
_symmetry_Int_Tables_number 1
_symmetry_space_group_name_Hall 'P 1'
_cell_length_a 10.233
_cell_length_b 10.233
_cell_length_c 4.479
_cell_angle_alpha 90.00
_cell_angle_beta 90.00
_cell_angle_gamma 160.07
loop_
_atom_site_label
_atom_site_fract_x
_atom_site_fract_y
_atom_site_fract_z
_atom_site_occupancy
Li1 0.164 0.836 0.750 1
Li2 0.836 0.164 0.250 1
Y1 0.398 0.602 0.750 1
Y2 0.602 0.398 0.250 1
Al1 0.034 0.966 0.750 1
Al2 0.237 0.763 0.250 1
Al3 0.763 0.237 0.750 1
Al4 0.966 0.034 0.250 1

***

# 8
# YVC2 (PBE-GGA, optimized geometry)
# Volume in Å³/atom: 12.0
# Crystal system: cubic
# Symmetry: Fm-3m, No. 225
# Energy of formation in eV per atom: 0.790
# Fermi-level density of states in states/eV/atom: 1.01
data_YVC2
_symmetry_space_group_name_H-M 'P 1'
_symmetry_Int_Tables_number 1
_symmetry_space_group_name_Hall 'P 1'
_cell_length_a 4.083
_cell_length_b 4.083
_cell_length_c 4.083
_cell_angle_alpha 60.00
_cell_angle_beta 60.00
_cell_angle_gamma 60.00
loop_
_atom_site_label
_atom_site_fract_x
_atom_site_fract_y
_atom_site_fract_z
_atom_site_occupancy
Y1 0.000 0.000 0.000 1
V1 0.500 0.500 0.500 1
C1 0.250 0.250 0.250 1
C2 0.750 0.750 0.750 1

***

# 9
# NaThN2 (PBE-GGA, optimized geometry)
# Volume in Å³/atom: 17.1
# Energy relative to the elements, uncorrected in eV per atom: -0.7191
# Crystal system: trigonal
# Symmetry: R-3m, No. 166
# Energy above the lowest structure with this stoichiometry in eV/atom: 0.000
# Fermi-level density of states in states/eV/atom: 0.88
data_NaThN2
_symmetry_space_group_name_H-M 'P 1'
_symmetry_Int_Tables_number 1
_symmetry_space_group_name_Hall 'P 1'
_cell_length_a 6.194
_cell_length_b 6.194
_cell_length_c 6.194
_cell_angle_alpha 34.60
_cell_angle_beta 34.60
_cell_angle_gamma 34.60
loop_
_atom_site_label
_atom_site_fract_x
_atom_site_fract_y
_atom_site_fract_z
_atom_site_occupancy
Na1 0.000 0.000 0.000 1
Th1 0.500 0.500 0.500 1
N1 0.233 0.233 0.233 1
N2 0.767 0.767 0.767 1

***

# 10
# Y6CoAg (PBE-GGA, optimized geometry)
# Volume in Å³/atom: 30.7
# Crystal system: trigonal
# Symmetry: R-3, No. 148
# Energy of formation in eV per atom: 0.008
# Fermi-level density of states in states/eV/atom: 1.38
data_Y6CoAg
_symmetry_space_group_name_H-M 'P 1'
_symmetry_Int_Tables_number 1
_symmetry_space_group_name_Hall 'P 1'
_cell_length_a 7.455
_cell_length_b 7.455
_cell_length_c 7.455
_cell_angle_alpha 53.08
_cell_angle_beta 53.08
_cell_angle_gamma 53.08
loop_
_atom_site_label
_atom_site_fract_x
_atom_site_fract_y
_atom_site_fract_z
_atom_site_occupancy
Y1 0.055 0.412 0.769 1
Y2 0.231 0.945 0.588 1
Y3 0.412 0.769 0.055 1
Y4 0.588 0.231 0.945 1
Y5 0.769 0.055 0.412 1
Y6 0.945 0.588 0.231 1
Co1 0.000 0.000 0.000 1
Ag1 0.500 0.500 0.500 1

***

Calculated values (Ry/atom) of total DFT energy (no corrections) for the records, taken in order: -0.0423 -0.2052 -0.3505 -0.6565 -0.0565 -0.3832 -0.3125 -0.5672 -0.5194 -0.4472.